No. 1
The following is a DFT calculation (PBE-GGA) of an optimized crystal structure of UGaCo.

Lattice parameters (Å, degrees): 6.5707 6.5707 3.9793 90.00 90.00 120.00
Site moments in Bohr magnetons follow the coordinates.
Atoms (fractional coordinates):
U 0.5756 0.5756 0.5000  1.44
U 0.4244 0.0000 0.5000  1.44
U 0.0000 0.4244 0.5000  1.44
Ga 0.2379 0.2379 0.0000  -0.02
Ga 0.7621 0.0000 0.0000  -0.02
Ga 0.0000 0.7621 0.0000  -0.02
Co 0.3333 0.6667 0.0000  -0.36
Co 0.6667 0.3333 0.0000  -0.36
Co 0.0000 0.0000 0.5000  -0.32

## Properties
* raw total energy: -67.2 eV per cell
* formation energy from the elements: -0.968 eV per formula unit
* symmetry: No. 189



No. 2
The following is a DFT calculation (PBE-GGA) of an optimized crystal structure of HoTmPa.

Lattice parameters (Å, degrees): 6.3945 6.6069 9.7355 80.86 70.83 61.06
Atoms (fractional coordinates):
Tm 0.1572 0.5000 0.6857
Tm 0.3428 0.5000 0.3143
Tm 0.5928 0.0000 0.8143
Tm 0.4072 0.0000 0.1857
Ho 0.6575 0.5000 0.6849
Ho 0.8425 0.5000 0.3151
Ho 0.0925 0.0000 0.8151
Ho 0.9075 0.0000 0.1849
Pa 0.0008 0.9984 0.5000
Pa 0.4992 0.0016 0.5000
Pa 0.7492 0.5016 0.0000
Pa 0.2508 0.4984 0.0000

## Properties
* raw total energy: -70.0 eV per cell
* ΔE to the lowest computed polymorph: 23.2 kJ/mol of atoms
* formation energy from the elements: 1.036 eV per formula unit
* symmetry: No. 70



No. 3
The following is a DFT calculation (PBE-GGA) of an optimized crystal structure of PmSm2Os.

Lattice parameters (Å, degrees): 3.5833 3.5833 11.2168 80.81 80.81 60.00
Atoms (fractional coordinates):
Os 0.5000 0.5000 0.5000
Sm 0.1078 0.1078 0.6766
Sm 0.8922 0.8922 0.3234
Pm 0.0000 0.0000 0.0000

## Properties
* raw total energy: -24.1 eV per cell
* ΔE to the lowest computed polymorph: 46.6 kJ/mol of atoms
* formation energy from the elements: 1.343 eV per formula unit
* symmetry: No. 166



No. 4
The following is a DFT calculation (PBE-GGA) of an optimized crystal structure of Dy5In2HgIr2.

Lattice parameters (Å, degrees): 3.6556 11.8831 11.8831 90.00 90.00 90.00
Atoms (fractional coordinates):
Dy 0.5000 0.2053 0.0758
Dy 0.5000 0.7947 0.9242
Dy 0.5000 0.0758 0.7947
Dy 0.5000 0.7053 0.4242
Dy 0.5000 0.9242 0.2053
Dy 0.5000 0.2947 0.5758
Dy 0.5000 0.5758 0.7053
Dy 0.5000 0.4242 0.2947
Dy 0.5000 0.5000 0.0000
Dy 0.5000 0.0000 0.5000
In 0.0000 0.6748 0.1748
In 0.0000 0.3252 0.8252
In 0.0000 0.1748 0.3252
In 0.0000 0.8252 0.6748
Hg 0.0000 0.0000 0.0000
Hg 0.0000 0.5000 0.5000
Ir 0.0000 0.1326 0.6326
Ir 0.0000 0.8674 0.3674
Ir 0.0000 0.6326 0.8674
Ir 0.0000 0.3674 0.1326

## Properties
* raw total energy: -104.7 eV per cell
* formation energy from the elements: -5.827 eV per formula unit
* symmetry: No. 127



No. 5
The following is a DFT calculation (PBE-GGA) of an optimized crystal structure of Mg2Al.

Lattice parameters (Å, degrees): 5.7001 5.7001 5.7001 60.00 60.00 60.00
Atoms (fractional coordinates):
Mg 0.1250 0.6250 0.6250
Mg 0.6250 0.1250 0.6250
Mg 0.6250 0.6250 0.6250
Mg 0.6250 0.6250 0.1250
Al 0.0000 0.0000 0.0000
Al 0.2500 0.2500 0.2500

## Properties
* raw total energy: -12.6 eV per cell
* formation energy from the elements: 0.648 eV per formula unit
* symmetry: No. 227



No. 6
The following is a DFT calculation (PBE-GGA) of an optimized crystal structure of Ce2Pu2Bi2Ir.

Lattice parameters (Å, degrees): 5.1952 5.1952 9.2938 106.23 106.23 90.00
Site moments in Bohr magnetons follow the coordinates.
Atoms (fractional coordinates):
Ce 0.1705 0.1705 0.3410  1.12
Ce 0.8295 0.8295 0.6590  1.12
Pu 0.0000 0.5000 0.0000  5.28
Pu 0.5000 0.0000 0.0000  5.28
Bi 0.3624 0.3624 0.7247  -0.09
Bi 0.6376 0.6376 0.2753  -0.09
Ir 0.0000 0.0000 0.0000  -0.23

## Properties
* raw total energy: -60.0 eV per cell
* formation energy from the elements: -2.861 eV per formula unit
* symmetry: No. 139



No. 7
The following is a DFT calculation (PBE-GGA) of an optimized crystal structure of NbTc2BRu.

Lattice parameters (Å, degrees): 4.1323 4.1323 4.0877 90.00 90.00 90.00
Atoms (fractional coordinates):
Ru 0.0000 0.0000 0.5000
Nb 0.5000 0.5000 0.5000
B 0.0000 0.0000 0.0000
Tc 0.0000 0.5000 0.0000
Tc 0.5000 0.0000 0.0000

## Properties
* raw total energy: -47.5 eV per cell
* formation energy from the elements: -0.757 eV per formula unit
* symmetry: No. 123



No. 8
The following is a DFT calculation (PBE-GGA) of an optimized crystal structure of Pu4Ge2Au5.

Lattice parameters (Å, degrees): 3.2942 7.6646 11.5409 115.16 90.00 90.00
Site moments in Bohr magnetons follow the coordinates.
Atoms (fractional coordinates):
Pu 0.5000 0.6974 0.2509  5.51
Pu 0.5000 0.2011 0.3488  5.43
Pu 0.5000 0.3026 0.7491  5.51
Pu 0.5000 0.7989 0.6512  5.43
Ge 0.0000 0.4264 0.5839  -0.03
Ge 0.0000 0.5736 0.4161  -0.03
Au 0.0000 0.0898 0.8838  0.01
Au 0.0000 0.6973 0.8436  0.01
Au 0.0000 0.5000 0.0000  0.02
Au 0.0000 0.3027 0.1564  0.01
Au 0.0000 0.9102 0.1162  0.01

## Properties
* raw total energy: -85.3 eV per cell
* ΔE to the lowest computed polymorph: 16.6 kJ/mol of atoms
* formation energy from the elements: -2.325 eV per formula unit
* symmetry: No. 10



No. 9
The following is a DFT calculation (PBE-GGA) of an optimized crystal structure of MgZn3.

Lattice parameters (Å, degrees): 4.0359 4.0359 4.9546 114.03 114.03 90.00
Atoms (fractional coordinates):
Zn 0.2500 0.7500 0.5000
Zn 0.7500 0.2500 0.5000
Zn 0.5000 0.5000 0.0000
Mg 0.0000 0.0000 0.0000

## Properties
* raw total energy: -5.5 eV per cell
* formation energy from the elements: -0.126 eV per formula unit
* symmetry: No. 139



No. 10
The following is a DFT calculation (PBE-GGA) of an optimized crystal structure of BaCu3Si.

Lattice parameters (Å, degrees): 4.9453 6.2746 6.9135 62.97 88.35 90.02
Atoms (fractional coordinates):
Ba 0.3603 0.2269 0.2715
Ba 0.3837 0.5180 0.6896
Cu 0.8825 0.3175 0.5250
Cu 0.1489 0.9464 0.8320
Cu 0.4732 0.7956 0.1346
Cu 0.8827 0.8828 0.5259
Cu 0.8507 0.1545 0.9986
Cu 0.8506 0.5720 0.0001
Si 0.9797 0.7304 0.2661
Si 0.6356 0.9764 0.7728

## Properties
* raw total energy: -39.8 eV per cell
* ΔE to the lowest computed polymorph: 6.8 kJ/mol of atoms
* uncorrected formation energy: -0.054 eV/atom
* symmetry: No. 8